No. 1
VASP calculation (GGA-PBE) on an optimized crystal structure of MnNbVGe.

For the formation energy, the calculation gives -57 kJ/mol of formula units.

Geometry as CIF:
```
data_MnNbVGe
_chemical_formula_sum 'Mn4 Nb4 V4 Ge4'
_symmetry_space_group_name_H-M 'F -4 3 m'
_symmetry_Int_Tables_number 216
_symmetry_space_group_name_Hall 'F -4 2 3'
_cell_length_a 6.1080
_cell_length_b 6.1080
_cell_length_c 6.1080
_cell_angle_alpha 90.00
_cell_angle_beta 90.00
_cell_angle_gamma 90.00
loop_
_atom_site_label
_atom_site_type_symbol
_atom_site_fract_x
_atom_site_fract_y
_atom_site_fract_z
Mn1 Mn 0.0000 0.0000 0.0000
Nb1 Nb 0.2500 0.2500 0.7500
V1 V 0.0000 0.0000 0.5000
Ge1 Ge 0.2500 0.2500 0.2500
```

No. 2
VASP calculation (GGA-PBE) on an optimized crystal structure of Nd2Mn3Ge4.

For the formation energy, the calculation gives -353 kJ/mol of formula units.

Geometry as CIF:
```
data_Nd2Mn3Ge4
_chemical_formula_sum 'Nd8 Mn12 Ge16'
_symmetry_space_group_name_H-M 'C m c e'
_symmetry_Int_Tables_number 64
_symmetry_space_group_name_Hall '-C 2ac 2'
_cell_length_a 5.7746
_cell_length_b 15.3388
_cell_length_c 7.6044
_cell_angle_alpha 90.00
_cell_angle_beta 90.00
_cell_angle_gamma 90.00
loop_
_atom_site_label
_atom_site_type_symbol
_atom_site_fract_x
_atom_site_fract_y
_atom_site_fract_z
Nd1 Nd 0.0000 0.1112 0.0918
Mn1 Mn 0.0000 0.0000 0.5000
Mn2 Mn 0.2500 0.2148 0.7500
Ge1 Ge 0.0000 0.1894 0.4633
Ge2 Ge 0.2500 0.0520 0.7500
```

No. 3
VASP calculation (GGA-PBE) on an optimized crystal structure of NdMn9Ge4.

For the formation energy, the calculation gives -252 kJ/mol of formula units.

Geometry as CIF:
```
data_NdMn9Ge4
_chemical_formula_sum 'Nd4 Mn36 Ge16'
_symmetry_space_group_name_H-M 'I 4/m c m'
_symmetry_Int_Tables_number 140
_symmetry_space_group_name_Hall '-I 4 2c'
_cell_length_a 8.0362
_cell_length_b 8.0362
_cell_length_c 11.8866
_cell_angle_alpha 90.00
_cell_angle_beta 90.00
_cell_angle_gamma 90.00
loop_
_atom_site_label
_atom_site_type_symbol
_atom_site_fract_x
_atom_site_fract_y
_atom_site_fract_z
Nd1 Nd 0.0000 0.0000 0.2500
Mn1 Mn 0.0000 0.5000 0.0000
Mn2 Mn 0.0549 0.1889 0.0000
Mn3 Mn 0.1138 0.3862 0.1731
Ge1 Ge 0.1806 0.3194 0.3745
```